## one
DFT (PBE) results for an optimized crystal structure of KHg3Bi.

```
data_KHg3Bi
_cell_length_a 9.3706
_cell_length_b 9.3706
_cell_length_c 7.0629
_cell_angle_alpha 110.45
_cell_angle_beta 110.45
_cell_angle_gamma 35.70
_symmetry_space_group_name_H-M 'P 1'
_symmetry_Int_Tables_number 1
loop_
_symmetry_equiv_pos_as_xyz
'x,y,z'
loop_
_atom_site_label
_atom_site_type_symbol
_atom_site_fract_x
_atom_site_fract_y
_atom_site_fract_z
K1 K 0.0835 0.0835 0.3172
K2 K 0.9165 0.9165 0.6828
Hg1 Hg 0.1416 0.1416 0.8659
Hg2 Hg 0.2785 0.2785 0.7023
Hg3 Hg 0.2882 0.2882 0.2767
Hg4 Hg 0.7118 0.7118 0.7233
Hg5 Hg 0.7215 0.7215 0.2977
Hg6 Hg 0.8584 0.8584 0.1341
Bi1 Bi 0.4299 0.4299 0.0835
Bi2 Bi 0.5701 0.5701 0.9165
```



## two
DFT (PBE) results for an optimized crystal structure of KHg3Bi.

```
data_KHg3Bi
_cell_length_a 6.2424
_cell_length_b 6.2424
_cell_length_c 6.2424
_cell_angle_alpha 90.00
_cell_angle_beta 90.00
_cell_angle_gamma 90.00
_symmetry_space_group_name_H-M 'P 1'
_symmetry_Int_Tables_number 1
loop_
_symmetry_equiv_pos_as_xyz
'x,y,z'
loop_
_atom_site_label
_atom_site_type_symbol
_atom_site_fract_x
_atom_site_fract_y
_atom_site_fract_z
K1 K 0.0000 0.0000 0.0000
Hg1 Hg 0.0000 0.0000 0.5000
Hg2 Hg 0.0000 0.5000 0.0000
Hg3 Hg 0.5000 0.0000 0.0000
Bi1 Bi 0.5000 0.5000 0.5000
```



## three
DFT (PBE) results for an optimized crystal structure of KHg3Bi.

```
data_KHg3Bi
_cell_length_a 7.0972
_cell_length_b 7.0972
_cell_length_c 7.2088
_cell_angle_alpha 90.00
_cell_angle_beta 90.00
_cell_angle_gamma 113.55
_symmetry_space_group_name_H-M 'P 1'
_symmetry_Int_Tables_number 1
loop_
_symmetry_equiv_pos_as_xyz
'x,y,z'
loop_
_atom_site_label
_atom_site_type_symbol
_atom_site_fract_x
_atom_site_fract_y
_atom_site_fract_z
K1 K 0.2318 0.7682 0.7500
K2 K 0.7682 0.2318 0.2500
Hg1 Hg 0.1039 0.8961 0.2500
Hg2 Hg 0.2659 0.2659 0.0000
Hg3 Hg 0.2659 0.2659 0.5000
Hg4 Hg 0.7341 0.7341 0.0000
Hg5 Hg 0.7341 0.7341 0.5000
Hg6 Hg 0.8961 0.1039 0.7500
Bi1 Bi 0.3527 0.6473 0.2500
Bi2 Bi 0.6473 0.3527 0.7500
```



Which of them is the least stable? Correct choice: two.



## one
DFT (PBE) results for an optimized crystal structure of KHg2Bi2.

```
data_KHg2Bi2
_cell_length_a 7.5116
_cell_length_b 7.5116
_cell_length_c 7.5116
_cell_angle_alpha 140.95
_cell_angle_beta 140.95
_cell_angle_gamma 56.41
_symmetry_space_group_name_H-M 'P 1'
_symmetry_Int_Tables_number 1
loop_
_symmetry_equiv_pos_as_xyz
'x,y,z'
loop_
_atom_site_label
_atom_site_type_symbol
_atom_site_fract_x
_atom_site_fract_y
_atom_site_fract_z
K1 K 0.0000 0.0000 0.0000
Hg1 Hg 0.3949 0.3949 0.0000
Hg2 Hg 0.6051 0.6051 0.0000
Bi1 Bi 0.2500 0.7500 0.5000
Bi2 Bi 0.7500 0.2500 0.5000
```



## two
DFT (PBE) results for an optimized crystal structure of KHg2Bi2.

```
data_KHg2Bi2
_cell_length_a 6.4686
_cell_length_b 7.2837
_cell_length_c 8.5984
_cell_angle_alpha 82.87
_cell_angle_beta 73.54
_cell_angle_gamma 63.71
_symmetry_space_group_name_H-M 'P 1'
_symmetry_Int_Tables_number 1
loop_
_symmetry_equiv_pos_as_xyz
'x,y,z'
loop_
_atom_site_label
_atom_site_type_symbol
_atom_site_fract_x
_atom_site_fract_y
_atom_site_fract_z
K1 K 0.1424 0.2168 0.2503
K2 K 0.8576 0.7832 0.7497
Hg1 Hg 0.2870 0.8257 0.9531
Hg2 Hg 0.3869 0.8237 0.5451
Hg3 Hg 0.6131 0.1763 0.4549
Hg4 Hg 0.7130 0.1743 0.0469
Bi1 Bi 0.1416 0.2157 0.7495
Bi2 Bi 0.4491 0.6066 0.2472
Bi3 Bi 0.5509 0.3934 0.7528
Bi4 Bi 0.8584 0.7843 0.2505
```



## three
DFT (PBE) results for an optimized crystal structure of KHg2Bi2.

```
data_KHg2Bi2
_cell_length_a 6.8528
_cell_length_b 6.8528
_cell_length_c 6.8528
_cell_angle_alpha 130.97
_cell_angle_beta 130.97
_cell_angle_gamma 71.86
_symmetry_space_group_name_H-M 'P 1'
_symmetry_Int_Tables_number 1
loop_
_symmetry_equiv_pos_as_xyz
'x,y,z'
loop_
_atom_site_label
_atom_site_type_symbol
_atom_site_fract_x
_atom_site_fract_y
_atom_site_fract_z
K1 K 0.0000 0.0000 0.0000
Hg1 Hg 0.2500 0.7500 0.5000
Hg2 Hg 0.7500 0.2500 0.5000
Bi1 Bi 0.3628 0.3628 0.0000
Bi2 Bi 0.6372 0.6372 0.0000
```



## four
DFT (PBE) results for an optimized crystal structure of KHg2Bi2.

```
data_KHg2Bi2
_cell_length_a 9.1757
_cell_length_b 9.1757
_cell_length_c 3.7163
_cell_angle_alpha 90.00
_cell_angle_beta 90.00
_cell_angle_gamma 90.00
_symmetry_space_group_name_H-M 'P 1'
_symmetry_Int_Tables_number 1
loop_
_symmetry_equiv_pos_as_xyz
'x,y,z'
loop_
_atom_site_label
_atom_site_type_symbol
_atom_site_fract_x
_atom_site_fract_y
_atom_site_fract_z
K1 K 0.0000 0.0000 0.0000
K2 K 0.5000 0.5000 0.0000
Hg1 Hg 0.1519 0.3482 0.0000
Hg2 Hg 0.3482 0.8482 0.0000
Hg3 Hg 0.6518 0.1519 0.0000
Hg4 Hg 0.8482 0.6518 0.0000
Bi1 Bi 0.1435 0.6435 0.5000
Bi2 Bi 0.3565 0.1435 0.5000
Bi3 Bi 0.6435 0.8565 0.5000
Bi4 Bi 0.8565 0.3565 0.5000
```



Which of them is the least stable? Correct choice: four.



## one
DFT (PBE) results for an optimized crystal structure of K2Hg7Bi.

```
data_K2Hg7Bi
_cell_length_a 5.3713
_cell_length_b 5.3713
_cell_length_c 11.3916
_cell_angle_alpha 90.00
_cell_angle_beta 90.00
_cell_angle_gamma 90.00
_symmetry_space_group_name_H-M 'P 1'
_symmetry_Int_Tables_number 1
loop_
_symmetry_equiv_pos_as_xyz
'x,y,z'
loop_
_atom_site_label
_atom_site_type_symbol
_atom_site_fract_x
_atom_site_fract_y
_atom_site_fract_z
K1 K 0.0000 0.5000 0.2480
K2 K 0.5000 0.0000 0.7520
Hg1 Hg 0.0000 0.0000 0.0000
Hg2 Hg 0.0000 0.5000 0.6306
Hg3 Hg 0.0000 0.5000 0.8827
Hg4 Hg 0.5000 0.0000 0.1173
Hg5 Hg 0.5000 0.0000 0.3694
Hg6 Hg 0.5000 0.5000 0.0000
Hg7 Hg 0.5000 0.5000 0.5000
Bi1 Bi 0.0000 0.0000 0.5000
```



## two
DFT (PBE) results for an optimized crystal structure of K2Hg7Bi.

```
data_K2Hg7Bi
_cell_length_a 8.2973
_cell_length_b 8.2973
_cell_length_c 8.2973
_cell_angle_alpha 60.00
_cell_angle_beta 60.00
_cell_angle_gamma 60.00
_symmetry_space_group_name_H-M 'P 1'
_symmetry_Int_Tables_number 1
loop_
_symmetry_equiv_pos_as_xyz
'x,y,z'
loop_
_atom_site_label
_atom_site_type_symbol
_atom_site_fract_x
_atom_site_fract_y
_atom_site_fract_z
K1 K 0.2500 0.2500 0.2500
K2 K 0.7500 0.7500 0.7500
Hg1 Hg 0.0000 0.0000 0.0000
Hg2 Hg 0.2429 0.2429 0.7571
Hg3 Hg 0.2429 0.7571 0.2429
Hg4 Hg 0.2429 0.7571 0.7571
Hg5 Hg 0.7571 0.2429 0.2429
Hg6 Hg 0.7571 0.2429 0.7571
Hg7 Hg 0.7571 0.7571 0.2429
Bi1 Bi 0.5000 0.5000 0.5000
```



Which of them is the least stable? Correct choice: two.



## one
DFT (PBE) results for an optimized crystal structure of KLiHg2Bi.

```
data_KLiHg2Bi
_cell_length_a 5.3674
_cell_length_b 5.3674
_cell_length_c 5.3387
_cell_angle_alpha 90.00
_cell_angle_beta 90.00
_cell_angle_gamma 90.00
_symmetry_space_group_name_H-M 'P 1'
_symmetry_Int_Tables_number 1
loop_
_symmetry_equiv_pos_as_xyz
'x,y,z'
loop_
_atom_site_label
_atom_site_type_symbol
_atom_site_fract_x
_atom_site_fract_y
_atom_site_fract_z
K1 K 0.0000 0.0000 0.0000
Li1 Li 0.5000 0.5000 0.5000
Hg1 Hg 0.0000 0.5000 0.5000
Hg2 Hg 0.5000 0.0000 0.5000
Bi1 Bi 0.5000 0.5000 0.0000
```



## two
DFT (PBE) results for an optimized crystal structure of KLiHg2Bi.

```
data_KLiHg2Bi
_cell_length_a 6.2384
_cell_length_b 7.3490
_cell_length_c 6.4734
_cell_angle_alpha 90.00
_cell_angle_beta 90.00
_cell_angle_gamma 90.00
_symmetry_space_group_name_H-M 'P 1'
_symmetry_Int_Tables_number 1
loop_
_symmetry_equiv_pos_as_xyz
'x,y,z'
loop_
_atom_site_label
_atom_site_type_symbol
_atom_site_fract_x
_atom_site_fract_y
_atom_site_fract_z
K1 K 0.2500 0.0000 0.2279
K2 K 0.7500 0.0000 0.7721
Li1 Li 0.0000 0.5000 0.5000
Li2 Li 0.5000 0.5000 0.5000
Hg1 Hg 0.2500 0.2214 0.7061
Hg2 Hg 0.2500 0.7786 0.7061
Hg3 Hg 0.7500 0.2214 0.2939
Hg4 Hg 0.7500 0.7786 0.2939
Bi1 Bi 0.2500 0.5000 0.0893
Bi2 Bi 0.7500 0.5000 0.9107
```



Which of them is the least stable? Correct choice: one.